(1)
The following is a SCAN calculation of a crystal of ScZnCl2 relaxed with PBEsol, from the Alexandria database.

Geometry as POSCAR:
```
ScZnCl2
1.0
1.741 1.005 9.567
-1.741 1.005 9.567
0.000 -2.010 9.567
Sc Zn Cl
1 1 2
Cartesian
0.000 0.000 0.000 Sc
0.000 0.000 14.350 Zn
0.000 0.000 2.303 Cl
0.000 0.000 26.397 Cl
```

=====

(2)
The following is a SCAN calculation of a crystal of ScZnCl2 relaxed with PBEsol, from the Alexandria database.

Geometry as POSCAR:
```
ScZnCl2
1.0
3.650 0.000 0.000
0.000 3.456 0.000
-1.824 0.000 7.076
Sc Zn Cl
1 1 2
Cartesian
0.000 0.000 0.000 Sc
1.824 1.728 1.380 Zn
0.010 0.000 2.555 Cl
1.827 1.728 5.303 Cl
```

=====

Looking at uncorrected formation energy for the records above, in order, we have -0.66; -1.16 eV per atom.
Looking at energy above the most stable polymorph in this dataset for the records above, in order, we have 0.522; 0.027 eV/atom.